Entry 1:
MnSi2Hg | Alexandria via LeMat-Bulk | PBE-GGA | optimized geometry; magnetization = 0.90 Bohr magnetons per cell; crystal system = tetragonal; ΔE_f (raw) = 120 kJ/mol of formula units
1.0
-1.510 2.777 0.495
-2.114 -0.743 -2.285
-3.539 -2.662 4.140
Hg Mn Si
1 1 2
Direct
0.000 0.000 0.501 Hg
0.500 0.500 0.834 Mn
0.000 0.000 0.960 Si
0.500 0.500 0.205 Si

Entry 2:
Mn2SiHg | Alexandria via LeMat-Bulk | PBE-GGA | optimized geometry; magnetization = 6.30 Bohr magnetons per cell; energy above the lowest structure with this stoichiometry = 0.85 eV per formula unit; crystal system = tetragonal; ΔE_f (raw) = 113 kJ/mol of formula units
1.0
5.076 0.246 0.000
2.049 4.650 0.000
-3.562 -2.448 2.672
Hg Mn Si
1 2 1
Direct
0.750 0.250 0.500 Hg
0.000 0.000 0.000 Mn
0.250 0.750 0.500 Mn
0.500 0.500 0.000 Si

Entry 3:
MnSi2Hg | Alexandria via LeMat-Bulk | PBE-GGA | optimized geometry; magnetization = 0.00 Bohr magnetons per cell; crystal system = monoclinic; ΔE_f (raw) = 37 kJ/mol of formula units
1.0
-0.001 0.012 -2.825
-0.572 -2.814 -0.012
-7.666 1.547 0.009
Hg Mn Si
1 1 2
Direct
0.500 0.250 0.250 Hg
0.500 0.750 0.750 Mn
0.000 0.249 0.920 Si
0.000 0.251 0.580 Si

Entry 4:
MnSiHg2 | Alexandria via LeMat-Bulk | PBE-GGA | optimized geometry; magnetization = 7.39 Bohr magnetons per cell; crystal system = tetragonal; ΔE_f (raw) = 198 kJ/mol of formula units
1.0
7.717 0.000 0.000
0.000 7.717 0.000
3.859 3.859 2.784
Si Mn Hg
2 2 4
Direct
0.500 0.500 0.000 Si
0.250 0.750 0.500 Si
0.000 0.000 0.000 Mn
0.750 0.250 0.500 Mn
0.605 0.125 0.250 Hg
0.145 0.625 0.250 Hg
0.375 0.395 0.750 Hg
0.875 0.855 0.750 Hg

Entry 5:
MnSiHg2 | Alexandria via LeMat-Bulk | PBE-GGA | optimized geometry; magnetization = 3.92 Bohr magnetons per cell; crystal system = orthorhombic; ΔE_f (raw) = 203 kJ/mol of formula units
1.0
3.028 -0.083 0.000
-1.240 2.764 0.000
0.000 0.000 9.600
Hg Mn Si
2 1 1
Direct
0.000 0.000 0.009 Hg
0.000 0.000 0.491 Hg
0.500 0.500 0.250 Mn
0.500 0.500 0.750 Si

Entry 6:
Mn2SiHg | Alexandria via LeMat-Bulk | PBE-GGA | optimized geometry; magnetization = 4.71 Bohr magnetons per cell; energy above the lowest structure with this stoichiometry = 0.00 eV per formula unit; crystal system = monoclinic; ΔE_f (raw) = 31 kJ/mol of formula units
1.0
-1.999 -1.667 1.043
1.346 -2.241 -1.001
5.065 -2.803 5.228
Hg Mn Si
1 2 1
Direct
0.500 0.750 0.750 Hg
0.000 0.954 0.046 Mn
0.000 0.546 0.454 Mn
0.500 0.250 0.250 Si

Among the records above, which one has the highest ΔE_f (raw)? number 5

Among the records above, which one has the lowest magnetization? number 3

Number 2 is which compound? Mn2SiHg

Which formula does entry 4 have? MnSiHg2